Entry 1:
First-principles (PBE) data for an optimized crystal structure of InNiAuSeS2, as listed in the Open Quantum Materials Database.

Output
Total DFT energy (no corrections)   -0.301 Ry per atom

POSCAR file:
```
InNiAuSeS2
1.0
1.783 -6.630 0.000
1.783 6.630 0.000
0.000 0.000 10.112
In Au Ni S Se
2 2 2 4 2
direct
0.816 0.184 0.250 In
0.184 0.816 0.750 In
0.153 0.847 0.250 Au
0.847 0.153 0.750 Au
0.500 0.500 0.500 Ni
0.500 0.500 0.000 Ni
0.111 0.889 0.484 S
0.111 0.889 0.016 S
0.889 0.111 0.516 S
0.889 0.111 0.984 S
0.472 0.528 0.250 Se
0.528 0.472 0.750 Se
```


Entry 2:
First-principles (PBE) data for an optimized crystal structure of InNiTe2AuS, as listed in the Open Quantum Materials Database.

Output
Total DFT energy (no corrections)   -0.268 Ry per atom

POSCAR file:
```
InNiTe2AuS
1.0
1.878 -8.096 0.000
1.878 8.096 0.000
0.000 0.000 9.640
Te Ni S In Au
4 2 2 2 2
direct
0.600 0.400 0.053 Te
0.400 0.600 0.553 Te
0.400 0.600 0.947 Te
0.600 0.400 0.447 Te
0.000 0.000 0.500 Ni
0.000 0.000 0.000 Ni
0.837 0.163 0.250 S
0.163 0.837 0.750 S
0.772 0.228 0.750 In
0.228 0.772 0.250 In
0.522 0.478 0.750 Au
0.478 0.522 0.250 Au
```


Entry 3:
First-principles (PBE) data for an optimized crystal structure of InNiAuSe3, as listed in the Open Quantum Materials Database.

Output
Total DFT energy (no corrections)   -0.286 Ry per atom

POSCAR file:
```
InNiAuSe3
1.0
3.704 0.000 0.000
1.852 6.559 0.000
0.000 0.000 10.600
Se Ni Au In
6 2 2 2
direct
0.382 0.236 0.486 Se
0.972 0.056 0.750 Se
0.382 0.236 0.014 Se
0.618 0.764 0.986 Se
0.618 0.764 0.514 Se
0.028 0.944 0.250 Se
0.000 0.000 0.500 Ni
0.000 0.000 0.000 Ni
0.346 0.308 0.250 Au
0.654 0.692 0.750 Au
0.316 0.369 0.750 In
0.684 0.631 0.250 In
```


Summary of size of the total moment in μB per formula unit
0.01; 0.00; 0.01
(order as listed above)